# 1
The following is a GGA-PBE calculation of a relaxed structure of TaSbRu2, from Alexandria.

Lattice parameters (Å, degrees): 4.993 4.993 4.526 76.52 76.52 38.04
Element x y z (fractional)
Sb 0.503 0.503 0.443
Ru 0.015 0.015 0.927
Ru 0.239 0.239 0.316
Ta 0.743 0.743 0.815

Values from the calculation:
Crystal system: monoclinic
E_tot: -8.761 eV per atom
Space-group type: No. 8

# 2
The following is a GGA-PBE calculation of a relaxed structure of TbNd6Y2Er, from Alexandria.

Lattice parameters (Å, degrees): 9.596 8.988 8.988 117.29 93.38 93.38
Element x y z (fractional)
Tb 0.750 0.030 0.970
Tb 0.250 0.970 0.030
Nd 0.116 0.708 0.484
Nd 0.884 0.292 0.516
Nd 0.556 0.764 0.117
Nd 0.384 0.516 0.292
Nd 0.616 0.484 0.708
Nd 0.811 0.437 0.992
Nd 0.689 0.008 0.563
Nd 0.056 0.117 0.764
Nd 0.944 0.883 0.236
Nd 0.311 0.992 0.437
Nd 0.444 0.236 0.883
Nd 0.189 0.563 0.008
Y 0.452 0.797 0.702
Y 0.048 0.298 0.203
Y 0.548 0.203 0.298
Y 0.952 0.702 0.797
Er 0.250 0.412 0.588
Er 0.750 0.588 0.412

Values from the calculation:
Crystal system: monoclinic
E_tot: -4.955 eV per atom
Space-group type: No. 15

What did the first record say?
The following is a GGA-PBE calculation of a relaxed structure of TaSbRu2, from Alexandria.

Lattice parameters (Å, degrees): 4.993 4.993 4.526 76.52 76.52 38.04
Element x y z (fractional)
Sb 0.503 0.503 0.443
Ru 0.015 0.015 0.927
Ru 0.239 0.239 0.316
Ta 0.743 0.743 0.815

Values from the calculation:
Crystal system: monoclinic
E_tot: -8.761 eV per atom
Space-group type: No. 8

The highest E_tot belongs to which entry?
TbNd6Y2Er